This record from Alexandria via LeMat-Bulk describes crystalline TaHg2Pd at its relaxed geometry. The functional is PBE-GGA.

Unit cell a=7.5917 b=7.5917 c=5.7044 alpha=90.00 beta=90.00 gamma=90.00
Closest atoms and distances in Å follow each position.
Space group I-42d (No. 122)
Symmetry-distinct sites (fractional):
Ta1 0.0000 0.0000 0.0000 x4  4 Hg 2.81, 2 Pd 2.85
Hg1 0.2436 0.7500 0.6250 x8  2 Pd 2.74, 2 Ta 2.81, 2 Hg 2.85
Pd1 0.0000 0.0000 0.5000 x4  4 Hg 2.74, 2 Ta 2.85

ΔH_f (0 K) = 0.583 eV/atom
electronic total energy = -3.83 eV/atom
energy above the most stable polymorph in this dataset = 25.1 kJ per mole of atoms
total magnetic moment = 0.00 μB per formula unit

=====

This record from Alexandria via LeMat-Bulk describes crystalline TaHg2Pd at its relaxed geometry. The functional is PBE-GGA.

Unit cell a=6.6686 b=6.6686 c=6.6686 alpha=90.00 beta=90.00 gamma=90.00
Closest atoms and distances in Å follow each position.
Space group Fm-3m (No. 225)
Symmetry-distinct sites (fractional):
Ta1 0.0000 0.0000 0.0000 x4  8 Hg 2.89
Hg1 0.2500 0.2500 0.2500 x8  4 Ta 2.89, 4 Pd 2.89
Pd1 0.0000 0.0000 0.5000 x4  8 Hg 2.89

ΔH_f (0 K) = 0.323 eV/atom
electronic total energy = -4.09 eV/atom
energy above the most stable polymorph in this dataset = 0.0 kJ per mole of atoms
total magnetic moment = 0.00 μB per formula unit

=====

This record from Alexandria via LeMat-Bulk describes crystalline Ta2HgPd at its relaxed geometry. The functional is PBE-GGA.

Unit cell a=7.5531 b=7.5531 c=5.4364 alpha=90.00 beta=90.00 gamma=90.00
Closest atoms and distances in Å follow each position.
Space group I-42d (No. 122)
Symmetry-distinct sites (fractional):
Ta1 0.2226 0.7500 0.1250 x8  2 Pd 2.62, 2 Ta 2.75, 2 Hg 2.90
Hg1 0.0000 0.0000 0.5000 x4  2 Pd 2.72, 4 Ta 2.90
Pd1 0.0000 0.0000 0.0000 x4  4 Ta 2.62, 2 Hg 2.72

ΔH_f (0 K) = 0.526 eV/atom
electronic total energy = -6.77 eV/atom
total magnetic moment = 0.00 μB per formula unit

=====

This record from Alexandria via LeMat-Bulk describes crystalline TaHgTePd2 at its relaxed geometry. The functional is PBE-GGA.

Unit cell a=4.9582 b=4.9582 c=5.3458 alpha=90.00 beta=90.00 gamma=90.00
Closest atoms and distances in Å follow each position.
Space group P4/mmm (No. 123)
Symmetry-distinct sites (fractional):
Ta1 0.0000 0.0000 0.0000 x1  4 Te 3.51, 8 Pd 3.65
Hg1 0.5000 0.5000 0.5000 x1  4 Pd 2.48, 2 Te 2.67
Te1 0.5000 0.5000 0.0000 x1  2 Hg 2.67
Pd1 0.0000 0.5000 0.5000 x2  2 Hg 2.48

electronic total energy = -3.70 eV/atom
total magnetic moment = 2.45 μB per formula unit

=====

This record from Alexandria via LeMat-Bulk describes crystalline TaTi2HgPd at its relaxed geometry. The functional is PBE-GGA.

Unit cell a=4.7119 b=4.7119 c=5.2601 alpha=90.00 beta=90.00 gamma=90.00
Closest atoms and distances in Å follow each position.
Space group P4/mmm (No. 123)
Symmetry-distinct sites (fractional):
Ta1 0.0000 0.0000 0.0000 x1  4 Ti 2.36, 2 Hg 2.63
Ti1 0.0000 0.5000 0.0000 x2  2 Ta 2.36
Hg1 0.0000 0.0000 0.5000 x1  2 Ta 2.63
Pd1 0.5000 0.5000 0.5000 x1  4 Hg 3.33, 8 Ti 3.53

ΔH_f (0 K) = 1.088 eV/atom
electronic total energy = -5.54 eV/atom
total magnetic moment = 0.00 μB per formula unit

=====

This record from Alexandria via LeMat-Bulk describes crystalline YTa2HgPd at its relaxed geometry. The functional is PBE-GGA.

Unit cell a=4.9106 b=4.9106 c=5.1240 alpha=90.00 beta=90.00 gamma=90.00
Closest atoms and distances in Å follow each position.
Space group P4/mmm (No. 123)
Symmetry-distinct sites (fractional):
Y1 0.0000 0.0000 0.0000 x1  4 Hg 3.47, 8 Ta 3.55
Ta1 0.0000 0.5000 0.5000 x2  2 Pd 2.46
Hg1 0.5000 0.5000 0.0000 x1  2 Pd 2.56
Pd1 0.5000 0.5000 0.5000 x1  4 Ta 2.46, 2 Hg 2.56

ΔH_f (0 K) = 0.898 eV/atom
electronic total energy = -6.24 eV/atom
total magnetic moment = 0.00 μB per formula unit